The following is a PBE calculation of a relaxed TaSb2Au crystal, from Alexandria via LeMat-Bulk.

Cell lengths 3.070, 4.121, 7.691 Å; angles 90.00, 90.00, 90.00 degrees
Space group Pmm2 (No. 25)
Symmetry-distinct sites (fractional):
Ta1 0.000 0.000 0.000 [1 per cell]
Sb1 0.000 0.000 0.373 [1 per cell]
Sb2 0.500 0.500 0.786 [1 per cell]
Au1 0.500 0.500 0.179 [1 per cell]

Computed properties:
* E: -5.736 eV/atom
* ΔE_f (raw): 0.108 eV per atom
* ρ: 10605 kg/m³
* total magnetic moment: 0.00 μB/cell